Crystalline PrGaI at its relaxed geometry. Source: the Alexandria database, functional PBE-GGA.

Cell: 4.383 6.450 14.471 Å, 90.00 90.00 90.00°
Fractional positions:
Pr1 0.750 0.000 0.314
Pr2 0.750 0.500 0.814
Pr3 0.250 0.500 0.186
Pr4 0.250 0.000 0.686
I1 0.750 0.500 0.355
I2 0.750 0.000 0.855
I3 0.250 0.000 0.145
I4 0.250 0.500 0.645
Ga1 0.750 0.500 0.043
Ga2 0.750 0.000 0.543
Ga3 0.250 0.500 0.957
Ga4 0.250 0.000 0.457

SG   Cmcm
Calculated total energy   -3.8152 eV/atom
N(E_F)   5.7 states/eV/cell
ρ   5.5 g/cm3